No. 1
Below is a PBEsol-optimized structure of KSnIr3, with properties calculated at the SCAN level.

a b c (Å): 4.6758 4.6758 4.6758
angles (deg): 90.00 90.00 90.00
Fractional positions:
K  0.0000  0.0000  0.0000
Sn  0.5000  0.5000  0.5000
Ir  0.0000  0.0000  0.5000
Ir  0.0000  0.5000  0.0000
Ir  0.5000  0.0000  0.0000

## Properties
ΔE_f: 1505 kJ/mol of formula units

---

No. 2
Below is a PBEsol-optimized structure of ScCuHg, with properties calculated at the SCAN level.

a b c (Å): 3.3693 3.3693 5.8874
angles (deg): 90.00 90.00 120.00
Fractional positions:
Sc  0.0000  0.0000  0.0000
Cu  0.3333  0.6667  0.6965
Hg  0.6667  0.3333  0.3805

## Properties
ΔE_f: -30 kJ/mol of formula units
ΔE to the lowest computed polymorph: 295 meV per atom

---

No. 3
Below is a PBEsol-optimized structure of TaFeSi4, with properties calculated at the SCAN level.

a b c (Å): 4.7995 4.7995 4.7995
angles (deg): 60.00 60.00 60.00
Fractional positions:
Ta  0.0000  0.0000  0.0000
Fe  0.7500  0.7500  0.7500
Si  0.3754  0.3754  0.3754
Si  0.3754  0.3754  0.8738
Si  0.3754  0.8738  0.3754
Si  0.8738  0.3754  0.3754

## Properties
E_form (uncorrected): 338 meV/atom

---

No. 4
Below is a PBEsol-optimized structure of InPRh2, with properties calculated at the SCAN level.

a b c (Å): 2.9484 3.6064 5.8173
angles (deg): 90.00 90.00 90.00
Fractional positions:
In  0.0000  0.0000  0.0000
P  0.5000  0.5000  0.3687
Rh  0.0000  0.0000  0.4750
Rh  0.5000  0.5000  0.7624

## Properties
ΔE_f: -131 kJ/mol of formula units

---

No. 5
Below is a PBEsol-optimized structure of Sn3BC, with properties calculated at the SCAN level.

a b c (Å): 4.6207 4.6207 4.6207
angles (deg): 90.00 90.00 90.00
Fractional positions:
Sn  0.0000  0.0000  0.5000
Sn  0.0000  0.5000  0.0000
Sn  0.5000  0.0000  0.0000
B  0.0000  0.0000  0.0000
C  0.5000  0.5000  0.5000

## Properties
ΔE_f: 882 kJ/mol of formula units

---

No. 6
Below is a PBEsol-optimized structure of TcPOs2, with properties calculated at the SCAN level.

a b c (Å): 4.6327 4.6327 4.6327
angles (deg): 132.20 132.20 69.91
Fractional positions:
Tc  0.0000  0.0000  0.0000
P  0.2500  0.7500  0.5000
Os  0.5000  0.5000  0.0000
Os  0.7500  0.2500  0.5000

## Properties
ΔE_f: 140 kJ/mol of formula units

---

How do the records compare in Fermi-level density of states? In the order shown, they have 0.86; 0.70; 0.43; 0.53; 0.46; 0.74 states/eV per atom.